A plane-wave DFT calculation with GGA-PBE was carried out for a relaxed structure of FeTeSe4.

Cell and atoms, written as CIF:
```
data_FeTeSe4
_chemical_formula_sum 'Fe4 Te4 Se16'
_cell_length_a 8.0822
_cell_length_b 8.0822
_cell_length_c 8.0822
_cell_angle_alpha 90.00
_cell_angle_beta 90.00
_cell_angle_gamma 90.00
_space_group_name_H-M_alt 'F -4 3 m'
_space_group_IT_number 216
_space_group_name_Hall 'F -4 2 3'
loop_
_atom_site_label
_atom_site_fract_x
_atom_site_fract_y
_atom_site_fract_z
_atom_site_occupancy
Fe1 0.0000 0.0000 0.0000 1
Te1 0.2500 0.2500 0.2500 1
Se1 0.1267 0.1267 0.6267 1
```

Values from the calculation:
* formation energy from raw total energies: 0.865 eV/atom
* total moment: 3.32 μB per formula unit

***

A plane-wave DFT calculation with GGA-PBE was carried out for a relaxed structure of Fe2TeSe.

Cell and atoms, written as CIF:
```
data_Fe2TeSe
_chemical_formula_sum 'Fe4 Te2 Se2'
_cell_length_a 3.3383
_cell_length_b 3.5158
_cell_length_c 12.1634
_cell_angle_alpha 90.00
_cell_angle_beta 90.00
_cell_angle_gamma 90.00
_space_group_name_H-M_alt 'I m m 2'
_space_group_IT_number 44
_space_group_name_Hall 'I 2 -2'
loop_
_atom_site_label
_atom_site_fract_x
_atom_site_fract_y
_atom_site_fract_z
_atom_site_occupancy
Fe1 0.0000 0.0000 0.0000 1
Fe2 0.0000 0.5000 0.3003 1
Te1 0.0000 0.0000 0.6092 1
Se1 0.0000 0.5000 0.8574 1
```

Values from the calculation:
* formation energy from raw total energies: 0.182 eV/atom
* total moment: 5.12 μB per formula unit

***

A plane-wave DFT calculation with GGA-PBE was carried out for a relaxed structure of Fe2Te2Se.

Cell and atoms, written as CIF:
```
data_Fe2Te2Se
_chemical_formula_sum 'Fe4 Te4 Se2'
_cell_length_a 5.4288
_cell_length_b 5.4288
_cell_length_c 7.0945
_cell_angle_alpha 90.00
_cell_angle_beta 90.00
_cell_angle_gamma 90.00
_space_group_name_H-M_alt 'I 4/m m m'
_space_group_IT_number 139
_space_group_name_Hall '-I 4 2'
loop_
_atom_site_label
_atom_site_fract_x
_atom_site_fract_y
_atom_site_fract_z
_atom_site_occupancy
Fe1 0.0000 0.0000 0.1636 1
Te1 0.0000 0.5000 0.2500 1
Se1 0.0000 0.0000 0.5000 1
```

Values from the calculation:
* formation energy from raw total energies: 0.446 eV/atom
* total moment: 4.60 μB per formula unit

***

A plane-wave DFT calculation with GGA-PBE was carried out for a relaxed structure of Fe2TeSe.

Cell and atoms, written as CIF:
```
data_Fe2TeSe
_chemical_formula_sum 'Fe2 Te1 Se1'
_cell_length_a 3.4489
_cell_length_b 3.9226
_cell_length_c 5.4288
_cell_angle_alpha 90.00
_cell_angle_beta 90.00
_cell_angle_gamma 90.00
_space_group_name_H-M_alt 'P m m m'
_space_group_IT_number 47
_space_group_name_Hall '-P 2 2'
loop_
_atom_site_label
_atom_site_fract_x
_atom_site_fract_y
_atom_site_fract_z
_atom_site_occupancy
Fe1 0.0000 0.0000 0.0000 1
Fe2 0.5000 0.0000 0.5000 1
Te1 0.0000 0.5000 0.5000 1
Se1 0.5000 0.5000 0.0000 1
```

Values from the calculation:
* formation energy from raw total energies: 0.539 eV/atom
* total moment: 5.71 μB per formula unit